Record 1
The following is a DFT calculation (GGA-PBE) of an optimized crystal structure of KMoIr2.

abc: 3.2459 3.2459 8.2381
angles: 90.00 90.00 90.00
Positions (direct):
K: 0.0000 0.0000 0.4802
Mo: 0.5000 0.5000 0.8539
Ir: 0.5000 0.5000 0.1729
Ir: 0.0000 0.0000 0.9930

Computed properties:
E_form	3.210	eV per formula unit
N(E_F)	6.7	states/eV/cell
relative energy among the computed polymorphs	0.504	eV/atom
E	-6.610	eV/atom
volume	86.80	Å³/f.u.
size of the total moment	0.240	μB per atom


Record 2
The following is a DFT calculation (GGA-PBE) of an optimized crystal structure of KMo3Ir.

abc: 4.4061 4.4061 4.4061
angles: 90.00 90.00 90.00
Positions (direct):
K: 0.0000 0.0000 0.0000
Mo: 0.5000 0.0000 0.0000
Mo: 0.0000 0.0000 0.5000
Mo: 0.0000 0.5000 0.0000
Ir: 0.5000 0.5000 0.5000

Computed properties:
E_form	15.174	eV per formula unit
N(E_F)	4.9	states/eV/cell
relative energy among the computed polymorphs	1.399	eV/atom
E	-5.456	eV/atom
volume	85.54	Å³/f.u.
size of the total moment	0.000	μB per atom


Record 3
The following is a DFT calculation (GGA-PBE) of an optimized crystal structure of KMo2Ir.

abc: 4.6203 4.6203 4.6203
angles: 120.04 120.04 89.92
Positions (direct):
Ir: 0.5000 0.5000 0.0000
Mo: 0.2500 0.7500 0.5000
Mo: 0.0000 0.0000 0.0000
K: 0.7500 0.2500 0.5000

Computed properties:
E_form	5.138	eV per formula unit
N(E_F)	5.9	states/eV/cell
relative energy among the computed polymorphs	0.688	eV/atom
E	-6.621	eV/atom
volume	69.70	Å³/f.u.
size of the total moment	0.000	μB per atom